Ba2InMoO6 | PBE+U | optimized geometry

Unit cell a=6.0297 b=6.0297 c=29.6614 alpha=90.00 beta=90.00 gamma=120.00
Space group R-3m (No. 166, hexagonal axes)
Asymmetric unit:
Ba 0.0000 0.0000 0.1303 (multiplicity 6)
Ba 0.0000 0.0000 0.2811 (multiplicity 6)
In 0.0000 0.0000 0.4054 (multiplicity 6)
Mo 0.0000 0.0000 0.0000 (multiplicity 3)
Mo 0.0000 0.0000 0.5000 (multiplicity 3)
O 0.0204 0.5102 0.7052 (multiplicity 18)
O 0.0226 0.5113 0.1263 (multiplicity 18)

Properties
**Density**: 6.20 g/cm³
**Crystal system**: trigonal
**VASP energy**: -388.297 eV per cell
**Size of the total moment**: 6.00 μB/cell